Below is a geometry-optimized KMoOF2 structure, with properties calculated at the PBE with a Hubbard U level.

Cell and atoms, written as CIF:
```
data_KMoOF2
_chemical_formula_sum 'K1 Mo1 O1 F2'
_cell_length_a 4.574
_cell_length_b 4.574
_cell_length_c 4.631
_cell_angle_alpha 90.00
_cell_angle_beta 90.00
_cell_angle_gamma 90.00
_space_group_name_H-M_alt 'P 4/m m m'
_space_group_IT_number 123
_space_group_name_Hall '-P 4 2'
loop_
_atom_site_label
_atom_site_fract_x
_atom_site_fract_y
_atom_site_fract_z
_atom_site_occupancy
K1 0.000 0.000 0.000 1
Mo1 0.500 0.500 0.500 1
O1 0.000 0.000 0.500 1
F1 0.000 0.500 0.000 1
```

The uncorrected energy comes out at -3.88 eV/atom. For the volume, the calculation gives 97 Å³ per cell.